Compound: Rb3Nd3GaSe8
Source: the Alexandria database
Functional: PBE
Structure: relaxed

Cell lengths 14.709, 8.489, 9.580 Å; angles 90.00, 120.79, 90.00 degrees
Space group C2/m (No. 12)
Unique sites:
1 Rb 0.000 0.000 0.000 [2 per cell]
2 Rb 0.250 0.250 0.000 [4 per cell]
3 Nd 0.000 0.500 0.500 [2 per cell]
4 Nd 0.250 0.250 0.500 [4 per cell]
5 Ga 0.000 0.000 0.500 [2 per cell]
6 Se 0.014 0.230 0.313 [8 per cell]
7 Se 0.214 0.000 0.686 [4 per cell]
8 Se 0.234 0.500 0.702 [4 per cell]

Computed properties:
E_form (uncorrected) = -20.25 eV per formula unit